## Sc2S2I (PBE-GGA)

Data for crystalline Sc2S2I at its relaxed geometry.

Cell lengths 3.994, 5.075, 7.053 Å; angles 111.08, 106.45, 90.00 degrees
Fractional positions:
S  0.317  0.317  0.635
Sc  0.306  0.806  0.612
I  0.000  0.000  0.000
Sc  0.694  0.194  0.388
S  0.683  0.683  0.365

* energy: -6.14 eV/atom
* M_tot: 0.000 μB per formula unit
* formation energy from raw total energies: -1.645 eV per atom
* theoretical density: 3.67 g/cm³

---

## ScS6I2 (PBE-GGA)

Data for crystalline ScS6I2 at its relaxed geometry.

Cell lengths 4.215, 8.845, 8.539 Å; angles 117.98, 92.31, 92.37 degrees
Fractional positions:
S  0.903  0.273  0.494
Sc  0.000  0.000  0.000
S  0.122  0.289  0.287
S  0.899  0.530  0.284
S  0.101  0.470  0.716
I  0.491  0.135  0.862
S  0.097  0.727  0.506
S  0.878  0.711  0.713
I  0.509  0.865  0.138

* energy: -4.16 eV/atom
* M_tot: 0.001 μB per formula unit
* formation energy from raw total energies: -0.357 eV per atom
* theoretical density: 2.91 g/cm³

---

## Sc7SI12 (PBE-GGA)

Data for crystalline Sc7SI12 at its relaxed geometry.

Cell lengths 9.354, 9.354, 9.354 Å; angles 107.85, 107.85, 107.85 degrees
Last column: magnetic moment on the atom in μB.
Fractional positions:
I  0.923  0.306  0.778  0.00
I  0.222  0.077  0.694  0.00
S  0.000  0.000  0.000  0.00
I  0.382  0.457  0.152  0.00
Sc  0.289  0.096  0.031  0.02
Sc  0.711  0.904  0.969  0.02
Sc  0.969  0.711  0.904  0.02
Sc  0.031  0.289  0.096  0.02
I  0.848  0.618  0.543  0.00
I  0.694  0.222  0.077  0.00
I  0.543  0.848  0.618  0.00
Sc  0.096  0.031  0.289  0.02
I  0.618  0.543  0.848  0.00
I  0.077  0.694  0.222  0.00
Sc  0.500  0.500  0.500  0.45
Sc  0.904  0.969  0.711  0.02
I  0.457  0.152  0.382  0.00
I  0.152  0.382  0.457  0.00
I  0.306  0.778  0.923  0.00
I  0.778  0.923  0.306  0.00

* energy: -4.58 eV/atom
* M_tot: 0.846 μB per formula unit
* formation energy from raw total energies: -1.223 eV per atom
* theoretical density: 4.67 g/cm³

---

## ScSI3 (PBE-GGA)

Data for crystalline ScSI3 at its relaxed geometry.

Cell lengths 5.729, 5.729, 5.729 Å; angles 90.00, 90.00, 90.00 degrees
Last column: magnetic moment on the atom in μB.
Fractional positions:
Sc  0.000  0.000  0.000  0.02
S  0.500  0.500  0.500  1.04
I  0.000  0.500  0.000  0.03
I  0.000  0.000  0.500  0.08
I  0.500  0.000  0.000  0.05

* energy: -3.28 eV/atom
* M_tot: 2.000 μB per formula unit
* formation energy from raw total energies: -0.259 eV per atom
* theoretical density: 4.04 g/cm³
* energy above the most stable polymorph in this dataset: 0 meV/atom

---

## ScS2I2 (PBE-GGA)

Data for crystalline ScS2I2 at its relaxed geometry.

Cell lengths 7.643, 8.279, 7.579 Å; angles 81.28, 59.72, 72.49 degrees
Fractional positions:
I  0.005  0.734  0.437
I  0.442  0.734  0.563
S  0.768  0.560  0.000
S  0.232  0.440  0.000
Sc  0.161  0.500  0.678
Sc  0.839  0.500  0.322
S  0.921  0.715  0.000
I  0.995  0.266  0.563
S  0.079  0.285  0.000
I  0.558  0.266  0.437

* energy: -4.45 eV/atom
* M_tot: 0.000 μB per formula unit
* formation energy from raw total energies: -0.917 eV per atom
* theoretical density: 3.05 g/cm³

---

## ScS8I2 (PBE-GGA)

Data for crystalline ScS8I2 at its relaxed geometry.

Cell lengths 11.361, 8.806, 8.806 Å; angles 40.83, 132.01, 132.01 degrees
Fractional positions:
Sc  0.000  0.000  0.000
S  0.978  0.377  0.858
S  0.978  0.858  0.377
S  0.207  0.517  0.517
I  0.342  0.124  0.124
I  0.658  0.876  0.876
S  0.172  0.720  0.720
S  0.022  0.142  0.623
S  0.022  0.623  0.142
S  0.828  0.280  0.280
S  0.793  0.483  0.483

* energy: -3.92 eV/atom
* M_tot: 0.000 μB per formula unit
* formation energy from raw total energies: -0.059 eV per atom
* theoretical density: 2.29 g/cm³